(1)
Density functional theory data (PBE) for a relaxed structure of Tm6RhO12.

Cell: 9.6681 9.6681 9.2325 Å, 90.00 90.00 120.00°
Space group R-3 (No. 148, hexagonal axes)
Symmetry-distinct sites (fractional):
Tm1 0.0423 0.2554 0.1437 [18 per cell]
Rh1 0.0000 0.0000 0.5000 [3 per cell]
O1 0.0326 0.2224 0.9000 [18 per cell]
O2 0.0400 0.1911 0.3873 [18 per cell]

Values from the calculation:
N(E_F): 5.40 states/eV/f.u.
Energy relative to the elements, uncorrected: -56.79 eV/f.u.

***

(2)
Density functional theory data (PBE) for a relaxed structure of Pr3S5.

Cell: 8.6700 8.6700 5.7403 Å, 90.00 90.00 120.00°
Space group P6_3/mcm (No. 193)
Symmetry-distinct sites (fractional):
Pr1 0.0000 0.3630 0.2500 [6 per cell]
S1 0.0000 0.2830 0.7500 [6 per cell]
S2 0.3333 0.6667 0.0000 [4 per cell]

Values from the calculation:
N(E_F): 1.43 states/eV/f.u.
Energy relative to the elements, uncorrected: -14.95 eV/f.u.

***

(3)
Density functional theory data (PBE) for a relaxed structure of CaBrO2.

Cell: 4.181 4.181 3.155 Å, 90.00 90.00 90.00°
Space group P4/mmm (No. 123)
Symmetry-distinct sites (fractional):
Ca1 0.000 0.000 0.000 [1 per cell]
Br1 0.500 0.500 0.000 [1 per cell]
O1 0.000 0.500 0.500 [2 per cell]

Values from the calculation:
ΔE to the lowest computed polymorph: 729.7 meV per atom
N(E_F): 2.81 states/eV/f.u.
Energy relative to the elements, uncorrected: -2.91 eV/f.u.

***

(4)
Density functional theory data (PBE) for a relaxed structure of Tb2PrHg4.

Cell: 5.1384 5.1384 26.6832 Å, 90.00 90.00 120.00°
Space group R-3m (No. 166, hexagonal axes)
Symmetry-distinct sites (fractional):
Tb1 0.0000 0.0000 0.2419 [6 per cell]
Pr1 0.0000 0.0000 0.0000 [3 per cell]
Hg1 0.0000 0.0000 0.1272 [6 per cell]
Hg2 0.0000 0.0000 0.3830 [6 per cell]

Values from the calculation:
ΔE_f: -220 kJ/mol of formula units
N(E_F): 6.06 states/eV/f.u.

***

(5)
Density functional theory data (PBE) for a relaxed structure of PuZr2NbN4.

Cell: 5.633 3.278 5.708 Å, 90.00 109.09 90.00°
Space group P2/m (No. 10)
Symmetry-distinct sites (fractional):
Pu1 0.000 0.000 0.000 [1 per cell]
Zr1 0.000 0.500 0.500 [1 per cell]
Zr2 0.500 0.000 0.500 [1 per cell]
Nb1 0.500 0.500 0.000 [1 per cell]
N1 0.255 0.000 0.748 [2 per cell]
N2 0.258 0.500 0.259 [2 per cell]

Values from the calculation:
N(E_F): 6.65 states/eV/f.u.
Energy relative to the elements, uncorrected: -11.43 eV/f.u.

***

(6)
Density functional theory data (PBE) for a relaxed structure of MgNbCd3.

Cell: 4.934 4.934 4.934 Å, 90.00 90.00 90.00°
Space group Pm-3m (No. 221)
Symmetry-distinct sites (fractional):
Mg1 0.000 0.000 0.000 [1 per cell]
Nb1 0.500 0.500 0.500 [1 per cell]
Cd1 0.000 0.000 0.500 [3 per cell]

Values from the calculation:
ΔE to the lowest computed polymorph: 122.3 meV per atom
ΔE_f: 525 kJ/mol of formula units
N(E_F): 4.49 states/eV/f.u.

***

(7)
Density functional theory data (PBE) for a relaxed structure of EuHRu.

Cell: 4.150 5.073 8.771 Å, 90.00 90.00 90.00°
Space group Imma (No. 74)
Symmetry-distinct sites (fractional):
Eu1 0.000 0.250 0.101 [4 per cell]
H1 0.000 0.000 0.500 [4 per cell]
Ru1 0.000 0.250 0.677 [4 per cell]

Values from the calculation:
Electronic total energy: -92.530 eV/cell
N(E_F): 3.12 states/eV/f.u.

***

(8)
Density functional theory data (PBE) for a relaxed structure of KYSn.

Cell: 5.501 5.501 7.974 Å, 90.00 90.00 90.00°
Space group P4/nmm (No. 129, origin choice 2)
Symmetry-distinct sites (fractional):
K1 0.250 0.750 0.000 [2 per cell]
Y1 0.250 0.750 0.500 [2 per cell]
Sn1 0.250 0.250 0.315 [2 per cell]

Values from the calculation:
ΔE to the lowest computed polymorph: 48.8 meV per atom
ΔE_f: -100 kJ/mol of formula units
N(E_F): 0.00 states/eV/f.u.